1.
VASP calculation (PBE-GGA) on a geometry-optimized YGaPd3 structure.

Unit cell a=5.170 b=5.170 c=16.805 alpha=90.00 beta=90.00 gamma=90.00
Space group I-4m2 (No. 119)
One atom of each set of equivalent atoms:
Y 0.000 0.000 0.118 x4
Ga 0.000 0.000 0.500 x2
Ga 0.000 0.500 0.750 x2
Pd 0.000 0.246 0.628 x8
Pd 0.000 0.500 0.028 x4

Values from the calculation:
Raw total energy: -5.458 eV/atom

---

2.
VASP calculation (PBE-GGA) on a geometry-optimized Fe3ReP structure.

Unit cell a=4.499 b=4.499 c=4.499 alpha=90.00 beta=90.00 gamma=90.00
Space group Pm-3m (No. 221)
One atom of each set of equivalent atoms:
Fe 0.000 0.000 0.500 x3
Re 0.000 0.000 0.000 x1
P 0.500 0.500 0.500 x1

Values from the calculation:
Raw total energy: -6.955 eV/atom

---

Among the records above, which one has the lowest raw total energy? Fe3ReP